Entry 1:
! PrHo2ScSb4, optimized geometry, DFT PBE; values from VASP
! M_tot ... 0.00 μB/atom
! Energy relative to the elements, uncorrected ... -1057.4 meV/atom
&SYSTEM
  ibrav = 0, nat = 8, ntyp = 4
/
ATOMIC_SPECIES
Pr 140.91 Pr.upf
Ho 164.93 Ho.upf
Sc 44.96 Sc.upf
Sb 121.76 Sb.upf
CELL_PARAMETERS angstrom
0.000 6.163 4.384
4.384 0.000 4.384
4.384 6.163 0.000
ATOMIC_POSITIONS crystal
Pr 0.000 0.000 0.000
Ho 0.249 0.249 0.251
Ho 0.749 0.749 0.751
Sc 0.500 0.500 0.500
Sb 0.000 0.500 0.000
Sb 0.259 0.739 0.261
Sb 0.500 0.000 0.500
Sb 0.739 0.259 0.741

---

Entry 2:
! PrHoSbSe, optimized geometry, DFT PBE; values from VASP
! M_tot ... 0.13 μB/atom
! Energy relative to the elements, uncorrected ... -1392.7 meV/atom
&SYSTEM
  ibrav = 0, nat = 4, ntyp = 4
/
ATOMIC_SPECIES
Pr 140.91 Pr.upf
Ho 164.93 Ho.upf
Sb 121.76 Sb.upf
Se 78.96 Se.upf
CELL_PARAMETERS angstrom
2.109 1.218 7.535
-2.109 1.218 7.535
0.000 -2.435 7.535
ATOMIC_POSITIONS crystal
Pr 0.000 0.000 0.000
Ho 0.167 0.167 0.167
Sb 0.579 0.579 0.579
Se 0.757 0.757 0.757

---

Entry 3:
! Pr2SmHo3Sb6, optimized geometry, DFT PBE; values from VASP
! M_tot ... 0.00 μB/atom
! Energy relative to the elements, uncorrected ... -1145.8 meV/atom
&SYSTEM
  ibrav = 0, nat = 12, ntyp = 4
/
ATOMIC_SPECIES
Pr 140.91 Pr.upf
Sm 150.36 Sm.upf
Ho 164.93 Ho.upf
Sb 121.76 Sb.upf
CELL_PARAMETERS angstrom
9.689 -2.226 0.000
9.689 2.226 0.000
-2.019 0.000 8.660
ATOMIC_POSITIONS crystal
Pr 0.166 0.166 0.333
Pr 0.834 0.834 0.667
Sm 0.500 0.500 0.000
Ho 0.167 0.167 0.833
Ho 0.500 0.500 0.500
Ho 0.833 0.833 0.167
Sb 0.003 0.003 0.747
Sb 0.332 0.332 0.925
Sb 0.336 0.336 0.410
Sb 0.664 0.664 0.590
Sb 0.668 0.668 0.075
Sb 0.997 0.997 0.253

---

Entry 4:
! Tb2PrHoSb4, optimized geometry, DFT PBE; values from VASP
! M_tot ... 0.00 μB/atom
! Energy relative to the elements, uncorrected ... -1142.2 meV/atom
&SYSTEM
  ibrav = 0, nat = 8, ntyp = 4
/
ATOMIC_SPECIES
Tb 158.93 Tb.upf
Pr 140.91 Pr.upf
Ho 164.93 Ho.upf
Sb 121.76 Sb.upf
CELL_PARAMETERS angstrom
-3.135 3.135 6.269
3.135 -3.135 6.269
3.135 3.135 -6.269
ATOMIC_POSITIONS crystal
Tb 0.250 0.750 0.500
Tb 0.750 0.250 0.500
Pr 0.000 0.000 0.000
Ho 0.500 0.500 0.000
Sb 0.000 0.500 0.500
Sb 0.254 0.254 0.000
Sb 0.500 0.000 0.500
Sb 0.746 0.746 0.000